Record 1
Here is a geometry-optimized LaCuAs2 structure from Alexandria. Energies are from PBE-GGA.

Values from the calculation:
- E_form: -677 meV per atom
- DOS at the Fermi energy: 1.0 states/eV/f.u.

```
data_LaCuAs2
_chemical_formula_sum 'La1 Cu1 As2'
_cell_length_a 4.274
_cell_length_b 3.963
_cell_length_c 5.499
_cell_angle_alpha 90.00
_cell_angle_beta 93.70
_cell_angle_gamma 90.00
_space_group_name_H-M_alt 'P 1 2/m 1'
_space_group_IT_number 10
_space_group_name_Hall '-P 2y'
loop_
_atom_site_label
_atom_site_type_symbol
_atom_site_fract_x
_atom_site_fract_y
_atom_site_fract_z
La1 La 0.000 0.000 0.000
Cu1 Cu 0.500 0.000 0.500
As1 As 0.456 0.500 0.760
```



Record 2
Here is a geometry-optimized KY2Hg structure from Alexandria. Energies are from PBE-GGA.

Values from the calculation:
- E_form: 41 meV per atom
- DOS at the Fermi energy: 4.7 states/eV/f.u.

```
data_KY2Hg
_chemical_formula_sum 'K2 Y4 Hg2'
_cell_length_a 3.548
_cell_length_b 6.063
_cell_length_c 12.625
_cell_angle_alpha 90.00
_cell_angle_beta 90.00
_cell_angle_gamma 90.00
_space_group_name_H-M_alt 'I m m m'
_space_group_IT_number 71
_space_group_name_Hall '-I 2 2'
loop_
_atom_site_label
_atom_site_type_symbol
_atom_site_fract_x
_atom_site_fract_y
_atom_site_fract_z
K1 K 0.000 0.000 0.000
Y1 Y 0.000 0.500 0.206
Hg1 Hg 0.000 0.000 0.500
```



Record 3
Here is a geometry-optimized YGa3Cu structure from Alexandria. Energies are from PBE-GGA.

Values from the calculation:
- Distance to the lowest polymorph of the same formula: 1510.7 meV/atom
- E_form: 1028 meV per atom
- DOS at the Fermi energy: 5.3 states/eV/f.u.

```
data_YGa3Cu
_chemical_formula_sum 'Y1 Ga3 Cu1'
_cell_length_a 5.504
_cell_length_b 5.504
_cell_length_c 5.504
_cell_angle_alpha 90.00
_cell_angle_beta 90.00
_cell_angle_gamma 90.00
_space_group_name_H-M_alt 'P m -3 m'
_space_group_IT_number 221
_space_group_name_Hall '-P 4 2 3'
loop_
_atom_site_label
_atom_site_type_symbol
_atom_site_fract_x
_atom_site_fract_y
_atom_site_fract_z
Y1 Y 0.000 0.000 0.000
Ga1 Ga 0.000 0.000 0.500
Cu1 Cu 0.500 0.500 0.500
```



Record 4
Here is a geometry-optimized Rb2TaCu structure from Alexandria. Energies are from PBE-GGA.

Values from the calculation:
- Distance to the lowest polymorph of the same formula: 363.1 meV/atom
- E_form: 1767 meV per atom
- DOS at the Fermi energy: 6.2 states/eV/f.u.

```
data_Rb2TaCu
_chemical_formula_sum 'Rb8 Ta4 Cu4'
_cell_length_a 8.539
_cell_length_b 8.539
_cell_length_c 8.539
_cell_angle_alpha 90.00
_cell_angle_beta 90.00
_cell_angle_gamma 90.00
_space_group_name_H-M_alt 'F m -3 m'
_space_group_IT_number 225
_space_group_name_Hall '-F 4 2 3'
loop_
_atom_site_label
_atom_site_type_symbol
_atom_site_fract_x
_atom_site_fract_y
_atom_site_fract_z
Rb1 Rb 0.250 0.250 0.250
Ta1 Ta 0.000 0.000 0.000
Cu1 Cu 0.000 0.000 0.500
```



Record 5
Here is a geometry-optimized Ni6Pt structure from Alexandria. Energies are from PBE-GGA.

Values from the calculation:
- Distance to the lowest polymorph of the same formula: 1172.5 meV/atom
- E_form: 1157 meV per atom
- DOS at the Fermi energy: 9.8 states/eV/f.u.

```
data_Ni6Pt
_chemical_formula_sum 'Ni12 Pt2'
_cell_length_a 6.083
_cell_length_b 6.083
_cell_length_c 6.083
_cell_angle_alpha 90.00
_cell_angle_beta 90.00
_cell_angle_gamma 90.00
_space_group_name_H-M_alt 'I m -3 m'
_space_group_IT_number 229
_space_group_name_Hall '-I 4 2 3'
loop_
_atom_site_label
_atom_site_type_symbol
_atom_site_fract_x
_atom_site_fract_y
_atom_site_fract_z
Ni1 Ni 0.000 0.250 0.500
Pt1 Pt 0.000 0.000 0.000
```



Record 6
Here is a geometry-optimized KAgRu structure from Alexandria. Energies are from PBE-GGA.

Values from the calculation:
- Distance to the lowest polymorph of the same formula: 83.9 meV/atom
- E_form: 875 meV per atom
- DOS at the Fermi energy: 3.1 states/eV/f.u.

```
data_KAgRu
_chemical_formula_sum 'K2 Ag2 Ru2'
_cell_length_a 2.801
_cell_length_b 2.801
_cell_length_c 15.525
_cell_angle_alpha 90.00
_cell_angle_beta 90.00
_cell_angle_gamma 90.00
_space_group_name_H-M_alt 'I 4 m m'
_space_group_IT_number 107
_space_group_name_Hall 'I 4 -2'
loop_
_atom_site_label
_atom_site_type_symbol
_atom_site_fract_x
_atom_site_fract_y
_atom_site_fract_z
K1 K 0.000 0.000 0.000
Ag1 Ag 0.000 0.000 0.692
Ru1 Ru 0.000 0.000 0.326
```



Record 7
Here is a geometry-optimized Tb2Dy3Y6 structure from Alexandria. Energies are from PBE-GGA.

Values from the calculation:
- Distance to the lowest polymorph of the same formula: 94.5 meV/atom
- E_form: 294 meV per atom
- DOS at the Fermi energy: 18.0 states/eV/f.u.

```
data_Tb2Dy3Y6
_chemical_formula_sum 'Tb4 Dy6 Y12'
_cell_length_a 4.719
_cell_length_b 4.719
_cell_length_c 33.427
_cell_angle_alpha 90.00
_cell_angle_beta 90.00
_cell_angle_gamma 90.00
_space_group_name_H-M_alt 'I 4/m m m'
_space_group_IT_number 139
_space_group_name_Hall '-I 4 2'
loop_
_atom_site_label
_atom_site_type_symbol
_atom_site_fract_x
_atom_site_fract_y
_atom_site_fract_z
Tb1 Tb 0.000 0.000 0.045
Dy1 Dy 0.000 0.000 0.302
Dy2 Dy 0.000 0.000 0.500
Y1 Y 0.000 0.000 0.199
Y2 Y 0.000 0.500 0.121
```



Record 8
Here is a geometry-optimized Cd2P structure from Alexandria. Energies are from PBE-GGA.

Values from the calculation:
- Distance to the lowest polymorph of the same formula: 309.3 meV/atom
- E_form: 399 meV per atom
- DOS at the Fermi energy: 1.0 states/eV/f.u.

```
data_Cd2P
_chemical_formula_sum 'Cd8 P4'
_cell_length_a 6.0847
_cell_length_b 6.0847
_cell_length_c 9.4646
_cell_angle_alpha 90.00
_cell_angle_beta 90.00
_cell_angle_gamma 120.00
_space_group_name_H-M_alt 'P 63/m m c'
_space_group_IT_number 194
_space_group_name_Hall '-P 6c 2c'
loop_
_atom_site_label
_atom_site_type_symbol
_atom_site_fract_x
_atom_site_fract_y
_atom_site_fract_z
Cd1 Cd 0.0000 0.0000 0.0000
Cd2 Cd 0.1674 0.3347 0.2500
P1 P 0.3333 0.6667 0.0417
```



Record 9
Here is a geometry-optimized NbSb2I structure from Alexandria. Energies are from PBE-GGA.

Values from the calculation:
- E_form (uncorrected): 16.63 kcal/mol of atoms
- Distance to the lowest polymorph of the same formula: 193.0 meV/atom
- DOS at the Fermi energy: 5.9 states/eV/f.u.

```
data_NbSb2I
_chemical_formula_sum 'Nb4 Sb8 I4'
_cell_length_a 7.350
_cell_length_b 7.350
_cell_length_c 7.350
_cell_angle_alpha 90.00
_cell_angle_beta 90.00
_cell_angle_gamma 90.00
_space_group_name_H-M_alt 'F m -3 m'
_space_group_IT_number 225
_space_group_name_Hall '-F 4 2 3'
loop_
_atom_site_label
_atom_site_type_symbol
_atom_site_fract_x
_atom_site_fract_y
_atom_site_fract_z
Nb1 Nb 0.000 0.000 0.000
Sb1 Sb 0.250 0.250 0.250
I1 I 0.000 0.000 0.500
```



Record 10
Here is a geometry-optimized RhSeNF2 structure from Alexandria. Energies are from PBE-GGA.

Values from the calculation:
- E_form (uncorrected): 2.67 kcal/mol of atoms
- Distance to the lowest polymorph of the same formula: 0.0 meV/atom
- DOS at the Fermi energy: 2.4 states/eV/f.u.

```
data_RhSeNF2
_chemical_formula_sum 'Rh1 Se1 N1 F2'
_cell_length_a 4.298
_cell_length_b 4.298
_cell_length_c 3.784
_cell_angle_alpha 90.00
_cell_angle_beta 90.00
_cell_angle_gamma 90.00
_space_group_name_H-M_alt 'P 4/m m m'
_space_group_IT_number 123
_space_group_name_Hall '-P 4 2'
loop_
_atom_site_label
_atom_site_type_symbol
_atom_site_fract_x
_atom_site_fract_y
_atom_site_fract_z
Rh1 Rh 0.000 0.000 0.000
Se1 Se 0.500 0.500 0.500
N1 N 0.000 0.000 0.500
F1 F 0.000 0.500 0.000
```



Record 11
Here is a geometry-optimized Y3NbO6 structure from Alexandria. Energies are from PBE-GGA.

Values from the calculation:
- E_form (uncorrected): -71.28 kcal/mol of atoms
- DOS at the Fermi energy: 3.2 states/eV/f.u.

```
data_Y3NbO6
_chemical_formula_sum 'Y18 Nb6 O36'
_cell_length_a 10.0010
_cell_length_b 10.0010
_cell_length_c 9.6191
_cell_angle_alpha 90.00
_cell_angle_beta 90.00
_cell_angle_gamma 120.00
_space_group_name_H-M_alt 'R -3'
_space_group_IT_number 148
_space_group_name_Hall '-R 3'
loop_
_atom_site_label
_atom_site_type_symbol
_atom_site_fract_x
_atom_site_fract_y
_atom_site_fract_z
Y1 Y 0.0467 0.7753 0.1677
Nb1 Nb 0.0000 0.0000 0.0000
Nb2 Nb 0.0000 0.0000 0.5000
O1 O 0.0299 0.8185 0.9027
O2 O 0.0436 0.8430 0.3949
```



Record 12
Here is a geometry-optimized Fe8TcW3 structure from Alexandria. Energies are from PBE-GGA.

Values from the calculation:
- E_form: -23 meV per atom
- DOS at the Fermi energy: 10.8 states/eV/f.u.

```
data_Fe8TcW3
_chemical_formula_sum 'Fe8 Tc1 W3'
_cell_length_a 4.6612
_cell_length_b 4.6612
_cell_length_c 7.7512
_cell_angle_alpha 90.00
_cell_angle_beta 90.00
_cell_angle_gamma 120.00
_space_group_name_H-M_alt 'P 3 m 1'
_space_group_IT_number 156
_space_group_name_Hall 'P 3 -2"'
loop_
_atom_site_label
_atom_site_type_symbol
_atom_site_fract_x
_atom_site_fract_y
_atom_site_fract_z
Fe1 Fe 0.0000 0.0000 0.0000
Fe2 Fe 0.0000 0.0000 0.5002
Fe3 Fe 0.1702 0.3403 0.2497
Fe4 Fe 0.3406 0.1703 0.7487
Tc1 Tc 0.6667 0.3333 0.0648
W1 W 0.3333 0.6667 0.5700
W2 W 0.3333 0.6667 0.9369
W3 W 0.6667 0.3333 0.4262
```